Crystalline Nb4Si2H at its relaxed geometry, computed with PBE-GGA.

Output
D(E_F): 4.5 states/eV per cell
Energy: -57.2 eV for the cell shown

Unit cell a=7.5957 b=7.5957 c=7.5957 alpha=150.73 beta=150.73 gamma=41.87
Closest atoms and distances in Å follow each position.
Fractional coordinates of all 7 atoms:
Nb1 0.0000 0.5000 0.5000  2 H 1.92
Nb2 0.1768 0.1768 0.0000  1 H 2.51, 5 Si 2.59-2.76
Nb3 0.5000 0.0000 0.5000  2 H 1.92
Nb4 0.8232 0.8232 0.0000  1 H 2.51, 5 Si 2.59-2.76
Si1 0.3596 0.3596 0.0000  9 Nb 2.59-2.77
Si2 0.6404 0.6404 0.0000  9 Nb 2.59-2.77
H1 0.0000 0.0000 0.0000  4 Nb 1.92